18
Lattice="-0.0028 -4.6190 3.2589 2.4177 -7.5564 -5.7585 9.3775 -2.3491 1.6279" Properties=species:S:1:pos:R:3 comment="PBE Cd5In2Bi2, optimized geometry" final_energy_ev_per_atom=-1.92 formation_energy_ev_per_atom=0.060 space_group="C2, No. 5" pbc="T T T"
Bi 8.9239 -2.6884 1.1465
Bi 2.4438 -6.3889 1.0578
Bi 8.4449 -8.8117 -2.8886
Bi 5.4429 -7.6014 -0.9170
Cd 10.1350 -8.7720 -0.1017
Cd 5.4690 -8.5400 -4.6498
Cd 8.9224 -5.9540 -0.9889
Cd 5.4150 -6.6663 2.8181
Cd 7.7803 -7.7395 1.3626
Cd 3.1052 -7.4634 -3.1979
Cd 4.2365 -3.8228 1.9670
Cd 4.3145 -10.3327 -2.3145
Cd 6.5702 -4.8709 0.4806
Cd 1.9637 -9.2464 -0.8489
In 9.8610 -11.7909 -2.1269
In 3.9344 -4.7205 -1.5295
In 6.9491 -10.4840 -0.3068
In 1.0243 -3.4122 0.2925



29
Lattice="2.0152 -4.8292 -8.5158 6.7166 -2.3870 7.0065 -8.9740 -2.4964 3.1108" Properties=species:S:1:pos:R:3 comment="PBE Cd12In16Bi, optimized geometry" final_energy_ev_per_atom=-2.00 formation_energy_ev_per_atom=0.027 space_group="Cm, No. 8" pbc="T T T"
In 1.3240 -6.1025 5.6508
In -0.8249 -4.2197 3.6195
In 2.6641 -3.9614 3.3608
In -3.4484 -6.1256 4.5486
In -1.4385 -7.5375 -3.4700
In 4.4795 -1.6198 4.6936
In 0.7410 -4.9604 -2.9884
In -4.8268 -6.8416 -0.0021
In -3.7566 -4.0616 1.7768
In -2.2930 -4.9823 -1.2274
In -0.1214 -3.2746 0.5520
In 0.9887 -2.6482 6.0330
In -2.2210 -4.3155 -4.5642
In 1.3351 -3.2532 -5.6881
In 2.8525 -8.8178 0.5234
In -0.1832 -9.6487 1.5735
Cd -6.0568 -4.3140 4.1165
Cd 1.0548 -6.5002 2.3834
Cd -4.3585 -6.3871 -3.1510
Cd -1.8838 -6.4786 1.5899
Cd 0.1432 -6.9737 -0.6264
Cd -6.9267 -4.7659 1.2446
Cd -0.9285 -2.2432 -2.5359
Cd 0.7914 -1.3497 3.1427
Cd 5.4779 -6.3661 -0.6576
Cd -2.1430 -1.4321 2.5055
Cd -3.0280 -1.8918 -0.4163
Cd -1.3874 -4.8438 6.6584
Bi 2.6357 -5.0528 -0.0033



20
Lattice="-8.0669 1.6400 1.5298 -2.2293 -6.5023 -4.7848 -3.8114 -3.6210 6.6964" Properties=species:S:1:pos:R:3 comment="PBE Cd6In3Bi, optimized geometry" final_energy_ev_per_atom=-1.70 formation_energy_ev_per_atom=0.057 space_group="Cmc2_1, No. 36" pbc="T T T"
Cd -3.1438 -6.3565 -1.4903
Cd -6.1351 0.1362 1.3928
Cd -9.1499 -4.3679 2.2596
Cd -4.0284 -1.4048 3.1765
Cd -8.2980 -5.3087 -0.5128
Cd -11.1458 -2.6576 4.5411
Cd -11.1121 -5.7187 4.3380
Cd -5.9917 -3.7054 3.5636
Cd -8.8484 -0.7402 -0.0394
Cd -2.2704 -0.6495 0.6599
Cd -7.2474 -6.5043 3.6051
Cd -5.7163 -9.0763 2.4998
Bi -8.3639 -1.3688 3.1893
Bi -5.4100 -6.1411 0.9684
In -8.5013 -4.1722 5.4701
In -5.7571 -4.7507 -2.3522
In -11.5561 -7.3787 1.6604
In -6.5096 -2.9152 0.5736
In -8.4363 -8.0129 1.0688
In -3.3898 -3.5495 -0.0181



11
Lattice="7.0946 0.2754 0.2289 0.6240 6.9754 0.1449 0.6240 1.4177 6.8314" Properties=species:S:1:pos:R:3 comment="PBE CdIn8Bi2, optimized geometry" final_energy_ev_per_atom=-2.70 formation_energy_ev_per_atom=0.082 space_group="C2/m, No. 12" pbc="T T T"
Bi 4.4569 1.6244 1.3502
Bi 3.8856 7.0441 5.8550
In 2.8138 6.7132 2.5436
In 5.5287 4.9405 1.0702
In 0.8963 6.0227 5.0060
In 5.5157 4.9794 4.1388
In 7.4462 2.6459 2.1992
In 2.8268 3.6891 3.0663
In 5.5287 1.9554 4.6616
In 2.8138 3.7281 6.1350
Cd 0.0000 0.0000 0.0000



4
Lattice="-3.2944 1.2679 -0.6161 -1.1617 -1.5547 3.0122 1.9342 7.1915 4.4578" Properties=species:S:1:pos:R:3 comment="PBE CdIn2Bi, optimized geometry" final_energy_ev_per_atom=-2.53 formation_energy_ev_per_atom=0.035 space_group="P4/mmm, No. 123" pbc="T T T"
In 1.4814 5.5080 3.4142
In 0.4528 1.6835 1.0436
Bi -1.2609 3.4523 3.4270
Cd -2.2280 -0.1434 1.1981



4
Lattice="5.2971 0.1412 0.1384 -2.4963 4.6742 -0.1384 -2.5479 -1.7403 4.4532" Properties=species:S:1:pos:R:3 comment="PBE CdIn2Bi, optimized geometry" final_energy_ev_per_atom=-2.53 formation_energy_ev_per_atom=0.035 space_group="Cm, No. 8" pbc="T T T"
Bi 1.4362 2.3869 0.8582
In -3.7662 2.1906 4.0583
In 1.3962 -0.8121 3.1253
Cd -1.2216 0.7105 1.9431



15
Lattice="7.0313 0.0000 0.0000 0.0000 7.1916 -4.1521 0.0000 0.0000 8.3042" Properties=species:S:1:pos:R:3 comment="PBE Cd6In8Bi, optimized geometry" final_energy_ev_per_atom=-2.01 formation_energy_ev_per_atom=0.077 space_group="P-3, No. 147" pbc="T T T"
Cd 2.2147 4.4877 3.0301
Cd 2.2147 2.3236 6.5235
Cd 4.8166 2.7039 1.1220
Cd 2.2147 0.3803 2.9026
Cd 4.8166 4.8680 -2.3714
Cd 4.8166 6.8113 1.2495
In 6.0894 4.7241 3.0386
In 6.0894 2.1980 6.7240
In 0.9419 6.9222 1.4585
In 0.9419 4.9936 -2.5719
In 4.0992 2.3972 4.1521
In 2.9321 4.7944 0.0000
In 0.9419 2.4675 1.1135
In 6.0894 0.2694 2.6936
Bi 3.5156 0.0000 0.0000



8
Lattice="-0.5804 2.4803 3.5849 0.3075 -6.5359 1.8744 7.7589 0.6052 0.8375" Properties=species:S:1:pos:R:3 comment="PBE Cd2InBi, optimized geometry" final_energy_ev_per_atom=-2.06 formation_energy_ev_per_atom=0.049 space_group="Cmcm, No. 63" pbc="T T T"
Bi 5.5382 -1.1232 4.3713
Bi 1.9478 -2.3272 1.9255
In 1.6651 -3.3775 5.3039
In 5.8209 -0.0728 0.9928
Cd 0.0907 0.1187 2.6300
Cd 3.2159 0.3625 2.9674
Cd 7.3953 -3.5691 3.6667
Cd 4.2701 -3.8129 3.3294



12
Lattice="-1.1247 -2.4052 4.7653 1.5183 -9.2197 -1.1727 6.0574 -1.9524 3.5666" Properties=species:S:1:pos:R:3 comment="PBE Cd3In2Bi, optimized geometry" final_energy_ev_per_atom=-1.97 formation_energy_ev_per_atom=0.046 space_group="C2/m, No. 12" pbc="T T T"
In 1.5369 -5.3359 0.7919
In 5.2608 -5.2140 4.8547
In 1.1903 -8.3633 2.3044
In 4.9141 -8.2415 6.3672
Cd 2.6269 -10.0002 4.9397
Cd 2.2400 -5.7147 3.8891
Cd 4.2111 -7.8626 3.2701
Cd 3.2198 -3.0032 5.4889
Cd 3.8241 -3.5772 2.2194
Cd 3.2312 -10.5741 1.6703
Bi 0.0860 -3.5515 4.4725
Bi 6.3651 -10.0258 2.6867



8
Lattice="8.5776 0.0000 0.0000 0.0000 8.5776 0.0000 4.2888 4.2888 3.1615" Properties=species:S:1:pos:R:3 comment="PBE CdIn2Bi, optimized geometry" final_energy_ev_per_atom=-2.50 formation_energy_ev_per_atom=0.067 space_group="I-42d, No. 122" pbc="T T T"
In 6.4076 2.1444 0.7904
In 10.7220 10.6964 2.3711
In 2.1700 6.4332 0.7904
In 6.4332 6.4589 2.3711
Bi 0.0000 0.0000 0.0000
Bi 8.5776 4.2888 1.5807
Cd 4.2888 8.5776 1.5807
Cd 4.2888 4.2888 0.0000



4
Lattice="4.6842 0.0000 0.0000 0.0000 4.8802 0.0000 0.0000 0.0000 4.8802" Properties=species:S:1:pos:R:3 comment="PBE CdIn2Bi, optimized geometry" final_energy_ev_per_atom=-2.52 formation_energy_ev_per_atom=0.044 space_group="P4/mmm, No. 123" pbc="T T T"
Cd 2.3421 0.0000 0.0000
In 0.0000 0.0000 2.4401
In 0.0000 2.4401 0.0000
Bi 2.3421 2.4401 2.4401



20
Lattice="5.6175 0.0000 -1.6990 -0.9698 6.8013 -3.2065 0.9621 2.1902 13.3175" Properties=species:S:1:pos:R:3 comment="PBE Cd5In3Bi2, optimized geometry" final_energy_ev_per_atom=-1.98 formation_energy_ev_per_atom=0.072 space_group="Ibam, No. 72" pbc="T T T"
In 4.2131 0.0000 -1.2742
In 0.3533 5.9680 1.1680
In 1.4044 0.0000 -0.4247
In 3.4240 4.1310 1.1846
In 5.2566 3.0234 7.2440
In 2.1859 4.8604 7.2275
Cd 2.5664 1.9770 3.4173
Cd 5.3751 1.9770 2.5678
Cd 3.7282 3.4006 -2.8775
Cd 1.1869 4.7639 3.9244
Cd 0.2347 7.0144 5.8443
Cd 0.9195 3.4006 -2.0280
Cd 3.6557 7.1479 1.9510
Cd 4.4229 4.2275 4.4876
Cd 3.0435 7.0144 4.9948
Cd 1.9541 1.8436 6.4611
Bi 0.3086 2.6329 1.0203
Bi 2.6313 6.0415 -1.4362
Bi 5.3013 6.3586 7.3918
Bi 2.9785 2.9499 9.8483



11
Lattice="5.6186 0.0000 0.0000 -2.8093 4.8658 0.0000 0.0000 0.0000 10.8919" Properties=species:S:1:pos:R:3 comment="PBE Cd5In5Bi, optimized geometry" final_energy_ev_per_atom=-1.93 formation_energy_ev_per_atom=0.079 space_group="P-6m2, No. 187" pbc="T T T"
Cd 4.1957 0.8215 5.4459
Cd 1.4229 0.8215 5.4459
Cd 2.8093 3.2228 5.4459
Cd 0.0000 0.0000 2.8698
Cd 0.0000 0.0000 8.0220
Bi 0.0000 3.2439 0.0000
In 0.0000 3.2439 3.4217
In 2.8093 1.6219 1.8825
In 0.0000 3.2439 7.4701
In 0.0000 0.0000 0.0000
In 2.8093 1.6219 9.0093



4
Lattice="5.6869 -2.7719 -3.1924 -2.5781 5.7774 3.1924 -3.4627 0.4711 6.1648" Properties=species:S:1:pos:R:3 comment="PBE CdIn2Bi, optimized geometry" final_energy_ev_per_atom=-2.48 formation_energy_ev_per_atom=0.084 space_group="Immm, No. 71" pbc="T T T"
In -4.4877 4.6420 6.9515
In -1.5530 1.6065 2.4057
Cd 0.0000 0.0000 0.0000
Bi -3.0204 3.1242 4.6786



11
Lattice="5.5637 0.5831 -0.2713 -1.0228 7.0515 -5.4032 0.5514 -1.3502 8.8225" Properties=species:S:1:pos:R:3 comment="PBE Cd8In2Bi, optimized geometry" final_energy_ev_per_atom=-1.41 formation_energy_ev_per_atom=0.104 space_group="C2/m, No. 12" pbc="T T T"
In 0.1415 0.8375 5.1183
In -0.6128 4.8638 -1.6990
Cd 1.1497 3.4426 1.9060
Cd 4.3996 5.9216 1.0136
Cd 0.6928 0.3628 2.1344
Cd 4.7243 4.1887 3.9478
Cd 2.8260 1.6487 4.1029
Cd 0.3681 2.0957 -0.7998
Cd 3.9426 2.8418 1.2421
Cd 2.2663 4.6358 -0.9549
Bi 2.7818 0.2915 -0.1357



4
Lattice="4.1195 3.1521 1.3795 -0.7873 4.1489 3.3130 1.9397 -0.1545 5.0023" Properties=species:S:1:pos:R:3 comment="PBE Cd2InBi, optimized geometry" final_energy_ev_per_atom=-2.06 formation_energy_ev_per_atom=0.052 space_group="Fm-3m, No. 225" pbc="T T T"
Bi 2.6359 3.5733 4.8474
Cd 3.9539 5.3599 7.2711
Cd 1.3180 1.7866 2.4237
In 0.0000 0.0000 0.0000



8
Lattice="8.4950 0.0000 0.0000 0.0000 8.4950 0.0000 4.2475 4.2475 3.1405" Properties=species:S:1:pos:R:3 comment="PBE Cd2InBi, optimized geometry" final_energy_ev_per_atom=-2.00 formation_energy_ev_per_atom=0.113 space_group="I-42d, No. 122" pbc="T T T"
Cd 6.3713 6.3845 2.3554
Cd 2.1370 6.3713 0.7851
Cd 10.6188 10.6056 2.3554
Cd 6.3581 2.1238 0.7851
Bi 8.4950 4.2475 1.5703
Bi 0.0000 0.0000 0.0000
In 4.2475 4.2475 0.0000
In 4.2475 8.4950 1.5703



8
Lattice="4.6356 0.0000 0.0000 0.0000 4.6356 0.0000 0.0000 0.0000 9.2223" Properties=species:S:1:pos:R:3 comment="PBE Cd6InBi, optimized geometry" final_energy_ev_per_atom=-1.47 formation_energy_ev_per_atom=0.045 space_group="P4/mmm, No. 123" pbc="T T T"
Cd 2.3178 2.3178 0.0000
Cd 0.0000 2.3178 2.3840
Cd 2.3178 2.3178 4.6112
Cd 2.3178 0.0000 6.8383
Cd 0.0000 2.3178 6.8383
Cd 2.3178 0.0000 2.3840
In 0.0000 0.0000 4.6112
Bi 0.0000 0.0000 0.0000



13
Lattice="4.6496 0.0029 0.0036 -0.0028 8.8670 -3.6879 -0.0124 -1.0908 9.8811" Properties=species:S:1:pos:R:3 comment="PBE Cd3In8Bi2, optimized geometry" final_energy_ev_per_atom=-2.43 formation_energy_ev_per_atom=0.059 space_group="C2/m, No. 12" pbc="T T T"
In 2.3214 3.0635 1.0373
In 2.3201 7.4439 -0.7846
In 2.3143 0.3353 6.9813
In -0.0092 2.6365 6.3391
In -0.0020 0.8555 2.0570
In 4.6437 5.1427 -0.1423
In 4.6364 6.9237 4.1398
In 2.3130 4.7157 5.1595
Bi 2.3131 6.0884 2.1333
Bi 2.3214 1.6908 4.0635
Cd -0.0021 6.7301 -2.7991
Cd 2.3248 0.0015 0.0018
Cd -0.0007 2.1369 -0.8888



15
Lattice="-2.7636 -2.6706 -7.4203 5.7989 -2.9916 -5.2205 -0.0140 -8.2765 -1.1536" Properties=species:S:1:pos:R:3 comment="PBE CdIn8Bi6, optimized geometry" final_energy_ev_per_atom=-3.02 formation_energy_ev_per_atom=0.056 space_group="R-3, No. 148" pbc="T T T"
In 2.2061 -4.9685 -9.2880
In -0.8835 -5.4835 -8.4016
In -1.4134 -8.2482 -6.7668
In 4.4347 -5.6904 -7.0277
In 0.8152 -8.9702 -4.5065
In 1.7496 -8.0719 -7.9884
In 1.2717 -5.8668 -5.8061
In 3.9049 -8.4551 -5.3929
Bi 0.4746 -5.5124 -2.6551
Bi 2.7889 -3.4098 -4.2728
Bi 2.5467 -8.4262 -11.1394
Bi 0.2324 -10.5288 -9.5217
Bi -0.6184 -3.2811 -5.1492
Bi 3.6397 -10.6576 -8.6453
Cd 0.0000 0.0000 0.0000



8
Lattice="-0.0965 -1.3725 -5.5465 -2.8784 -5.4880 2.9060 -3.4367 5.7333 -0.8861" Properties=species:S:1:pos:R:3 comment="PBE Cd2InBi, optimized geometry" final_energy_ev_per_atom=-2.06 formation_energy_ev_per_atom=0.051 space_group="P-1, No. 2" pbc="T T T"
Cd -1.1584 -1.0561 -1.8483
Cd -3.1531 -2.8804 -3.3088
Cd -2.9518 1.7327 -2.2596
Cd -4.9466 -0.0918 -3.7201
Bi -2.7169 -3.7161 -0.1635
Bi -3.3881 2.5683 -5.4049
In -1.7853 -0.3231 -4.9290
In -4.3195 -0.8246 -0.6396